Record 1
## RbPm2Pr3Te6 (PBE)

Data for a relaxed structure of RbPm2Pr3Te6.

Results
DOS(E_F)   5.115 states/eV/cell
Total DFT energy (no corrections)   -5.0152 eV/atom

The structure in extended XYZ format:
```
12
Lattice="9.992 -2.263 0.000 9.992 2.263 0.000 -2.175 0.000 9.061" Properties=species:S:1:pos:R:3 pbc="T T T"
Rb 0.000 0.000 0.000
Pm 5.186 0.000 5.945
Pm 12.623 0.000 3.116
Pr -1.087 0.000 4.530
Pr 6.398 0.000 1.641
Pr 11.411 0.000 7.420
Te 2.070 0.000 5.258
Te 3.304 0.000 0.811
Te 8.290 0.000 6.643
Te 9.519 0.000 2.417
Te 14.504 0.000 8.249
Te 15.738 0.000 3.803
```


Record 2
## Rb2PmPrTe4 (PBE)

Data for a relaxed structure of Rb2PmPrTe4.

Results
Total DFT energy (no corrections)   -4.4130 eV/atom

The structure in extended XYZ format:
```
8
Lattice="8.056 0.000 0.000 0.000 4.653 0.000 -2.683 0.000 8.574" Properties=species:S:1:pos:R:3 pbc="T T T"
Rb 0.000 0.000 0.000
Rb 4.028 2.326 0.000
Pm -1.342 2.326 4.287
Pr 2.686 0.000 4.287
Te -0.023 0.000 6.040
Te 1.320 2.326 2.521
Te 4.053 2.326 6.052
Te 5.396 0.000 2.534
```


Record 3
## PmPrRe (PBE)

Data for a relaxed structure of PmPrRe.

Results
DOS(E_F)   7.298 states/eV/cell
Energy of formation from the pure elements   0.75 eV/atom

The structure in extended XYZ format:
```
6
Lattice="0.000 3.346 10.438 2.630 0.000 10.438 2.630 3.346 0.000" Properties=species:S:1:pos:R:3 pbc="T T T"
Pm 1.315 1.673 5.219
Pm 3.945 5.019 15.656
Pr 2.630 3.346 2.027
Pr 2.630 3.346 18.848
Re 2.630 2.161 10.438
Re 2.630 4.531 10.438
```


Record 4
## PmPr2Re (PBE)

Data for a relaxed structure of PmPr2Re.

Results
DOS(E_F)   5.914 states/eV/cell
Energy of formation from the pure elements   0.92 eV/atom

The structure in extended XYZ format:
```
4
Lattice="1.672 0.965 11.764 -1.672 0.965 11.764 0.000 -1.931 11.764" Properties=species:S:1:pos:R:3 pbc="T T T"
Pm 0.000 0.000 0.000
Pr 0.000 0.000 14.966
Pr 0.000 0.000 20.325
Re 0.000 0.000 17.645
```


Record 5
## Pm2PrRe (PBE)

Data for a relaxed structure of Pm2PrRe.

Results
DOS(E_F)   5.672 states/eV/cell
Energy of formation from the pure elements   0.89 eV/atom

The structure in extended XYZ format:
```
4
Lattice="1.660 0.958 11.714 -1.660 0.958 11.714 0.000 -1.917 11.714" Properties=species:S:1:pos:R:3 pbc="T T T"
Pm 0.000 0.000 2.664
Pm 0.000 0.000 32.478
Pr 0.000 0.000 17.571
Re 0.000 0.000 0.000
```


Record 6
## Pm3PrRh (PBE)

Data for a relaxed structure of Pm3PrRh.

Results
DOS(E_F)   10.796 states/eV/cell
E above lowest polymorph   0.0418 eV per atom
Energy of formation from the pure elements   -0.22 eV/atom

The structure in extended XYZ format:
```
10
Lattice="5.016 -5.001 0.000 5.016 5.001 0.000 -2.470 0.000 6.228" Properties=species:S:1:pos:R:3 pbc="T T T"
Pm 0.014 0.000 1.700
Pm 2.528 2.503 1.692
Pm 5.034 2.503 4.536
Pm 2.528 -2.503 1.692
Pm 5.034 -2.503 4.536
Pm 7.547 0.000 4.529
Pr 2.524 0.000 4.508
Pr 5.038 0.000 1.720
Rh 2.479 0.000 0.009
Rh 5.082 0.000 6.219
```


Record 7
## Pm2PrRh (PBE)

Data for a relaxed structure of Pm2PrRh.

Results
DOS(E_F)   4.660 states/eV/cell
E above lowest polymorph   0.1147 eV per atom
Energy of formation from the pure elements   -0.32 eV/atom

The structure in extended XYZ format:
```
4
Lattice="3.599 0.000 0.000 0.000 3.599 0.000 0.000 0.000 8.908" Properties=species:S:1:pos:R:3 pbc="T T T"
Pm 0.000 0.000 1.664
Pm 0.000 0.000 7.244
Pr 1.800 1.800 4.454
Rh 1.800 1.800 0.000
```


Record 8
## Pm2Pr3Rh2 (PBE)

Data for a relaxed structure of Pm2Pr3Rh2.

Results
DOS(E_F)   7.360 states/eV/cell
Energy of formation from the pure elements   -0.45 eV/atom

The structure in extended XYZ format:
```
7
Lattice="6.239 -1.967 0.000 6.239 1.967 0.000 -3.955 0.000 8.317" Properties=species:S:1:pos:R:3 pbc="T T T"
Pm 0.895 0.000 2.595
Pm 7.627 0.000 5.722
Pr 4.526 0.000 0.606
Pr 4.261 0.000 4.158
Pr 3.996 0.000 7.711
Rh -0.679 0.000 6.186
Rh 9.201 0.000 2.131
```


Record 9
## Pm3Pr2Rh3 (PBE)

Data for a relaxed structure of Pm3Pr2Rh3.

Results
DOS(E_F)   4.995 states/eV/cell
Energy of formation from the pure elements   -0.48 eV/atom

The structure in extended XYZ format:
```
8
Lattice="-1.832 2.646 10.485 1.832 -2.646 10.485 1.832 2.646 -10.485" Properties=species:S:1:pos:R:3 pbc="T T T"
Pm 0.000 0.000 0.000
Pm 1.832 0.000 8.200
Pm 0.000 2.646 2.285
Pr 0.000 0.000 4.635
Pr 0.000 0.000 16.335
Rh 1.832 0.000 2.379
Rh 0.000 0.000 10.485
Rh 0.000 2.646 8.106
```


Record 10
## Pm3PrRh (PBE)

Data for a relaxed structure of Pm3PrRh.

Results
DOS(E_F)   21.274 states/eV/cell
E above lowest polymorph   0.0000 eV per atom
Energy of formation from the pure elements   -0.26 eV/atom

The structure in extended XYZ format:
```
20
Lattice="8.265 0.000 0.000 0.000 7.445 0.000 -3.193 0.000 9.840" Properties=species:S:1:pos:R:3 pbc="T T T"
Pm 0.450 1.574 0.225
Pm -1.147 2.149 5.145
Pm 1.140 0.015 3.710
Pm -0.456 3.708 8.630
Pm 1.502 4.692 6.021
Pm 3.099 6.476 1.101
Pm 1.973 0.969 8.738
Pm 3.569 2.754 3.818
Pm 5.528 3.737 1.210
Pm 3.931 7.431 6.129
Pm 6.219 5.296 4.695
Pm 4.622 5.872 9.614
Pr 0.688 3.988 2.569
Pr -0.908 7.180 7.488
Pr 5.980 0.265 2.351
Pr 4.383 3.457 7.271
Rh 1.635 1.802 5.862
Rh 3.232 1.921 0.943
Rh 1.840 5.525 8.897
Rh 3.437 5.643 3.977
```


Record 11
## Pm3PrRh (PBE)

Data for a relaxed structure of Pm3PrRh.

Results
DOS(E_F)   7.497 states/eV/cell
E above lowest polymorph   0.0910 eV per atom
Energy of formation from the pure elements   -0.17 eV/atom

The structure in extended XYZ format:
```
5
Lattice="5.572 0.000 0.000 0.000 5.572 0.000 0.000 0.000 5.572" Properties=species:S:1:pos:R:3 pbc="T T T"
Pm 0.000 0.000 2.786
Pm 0.000 2.786 0.000
Pm 2.786 0.000 0.000
Pr 2.786 2.786 2.786
Rh 0.000 0.000 0.000
```


Record 12
## PmPrRh (PBE)

Data for a relaxed structure of PmPrRh.

Results
DOS(E_F)   9.059 states/eV/cell
E above lowest polymorph   0.0000 eV per atom
Energy of formation from the pure elements   -0.47 eV/atom

The structure in extended XYZ format:
```
12
Lattice="7.125 0.000 0.000 0.000 6.675 0.000 -0.002 0.000 7.890" Properties=species:S:1:pos:R:3 pbc="T T T"
Pm 0.546 1.606 3.039
Pm 0.544 1.732 6.984
Pm 6.578 4.943 0.906
Pm 6.577 5.069 4.851
Pr 2.996 4.959 6.995
Pr 2.997 5.053 3.050
Pr 4.125 1.622 4.840
Pr 4.127 1.715 0.895
Rh 1.754 0.023 5.074
Rh 1.756 3.315 1.129
Rh 5.367 3.360 6.761
Rh 5.368 6.652 2.816
```


Record 13
## PmPrRh (PBE)

Data for a relaxed structure of PmPrRh.

Results
DOS(E_F)   5.535 states/eV/cell
E above lowest polymorph   0.0261 eV per atom
Energy of formation from the pure elements   -0.44 eV/atom

The structure in extended XYZ format:
```
6
Lattice="4.206 0.000 0.000 0.000 5.676 0.000 0.000 0.000 7.629" Properties=species:S:1:pos:R:3 pbc="T T T"
Pm 1.052 1.419 0.724
Pm 3.155 4.257 6.905
Pr 1.052 1.419 4.578
Pr 3.155 4.257 3.051
Rh 1.052 4.257 5.141
Rh 3.155 1.419 2.489
```


Record 14
## Pm3Pr2Rh4 (PBE)

Data for a relaxed structure of Pm3Pr2Rh4.

Results
DOS(E_F)   7.991 states/eV/cell
E above lowest polymorph   0.0000 eV per atom
Energy of formation from the pure elements   -0.67 eV/atom

The structure in extended XYZ format:
```
18
Lattice="7.808 0.000 0.000 0.000 7.772 0.000 -2.425 0.000 7.180" Properties=species:S:1:pos:R:3 pbc="T T T"
Pm 0.000 0.000 0.000
Pm -1.212 3.886 3.590
Pm 0.198 1.317 5.404
Pm 1.411 2.569 1.814
Pm 3.972 5.203 5.367
Pm 5.185 6.455 1.777
Pr 0.158 5.284 6.610
Pr 1.371 6.374 3.020
Pr 4.012 1.398 4.160
Pr 5.225 2.488 0.570
Rh -0.223 4.909 0.926
Rh -1.436 6.748 4.516
Rh 2.893 0.263 1.031
Rh 1.680 3.623 4.621
Rh 3.703 4.149 2.559
Rh 2.490 7.508 6.149
Rh 6.819 1.023 2.664
Rh 5.606 2.862 6.254
```


Record 15
## PmPrRh (PBE)

Data for a relaxed structure of PmPrRh.

Results
DOS(E_F)   3.443 states/eV/cell
E above lowest polymorph   0.0544 eV per atom
Energy of formation from the pure elements   -0.41 eV/atom

The structure in extended XYZ format:
```
3
Lattice="-1.783 1.783 6.608 1.783 -1.783 6.608 1.783 1.783 -6.608" Properties=species:S:1:pos:R:3 pbc="T T T"
Pm 0.000 0.000 0.000
Pr 0.000 0.000 9.849
Rh 0.000 0.000 4.983
```


Record 16
## Pm3Pr4Rh2 (PBE)

Data for a relaxed structure of Pm3Pr4Rh2.

Results
DOS(E_F)   9.687 states/eV/cell
Energy of formation from the pure elements   -0.33 eV/atom

The structure in extended XYZ format:
```
9
Lattice="8.606 -1.928 0.000 8.606 1.928 0.000 -3.568 0.000 8.522" Properties=species:S:1:pos:R:3 pbc="T T T"
Pm 0.000 0.000 0.000
Pm -1.185 0.000 5.860
Pm 14.829 0.000 2.662
Pr 3.369 0.000 1.309
Pr 4.222 0.000 5.283
Pr 9.422 0.000 3.239
Pr 10.275 0.000 7.213
Rh 6.324 0.000 0.548
Rh 7.320 0.000 7.975
```


Record 17
## PmPr3Rh3 (PBE)

Data for a relaxed structure of PmPr3Rh3.

Results
DOS(E_F)   16.348 states/eV/cell
E above lowest polymorph   0.0000 eV per atom
Energy of formation from the pure elements   -0.60 eV/atom

The structure in extended XYZ format:
```
28
Lattice="12.213 0.000 0.000 0.000 4.213 0.000 0.000 0.000 14.046" Properties=species:S:1:pos:R:3 pbc="T T T"
Pm 0.268 1.053 2.607
Pm 5.838 3.160 9.630
Pm 6.374 1.053 4.416
Pm 11.945 3.160 11.439
Pr 0.584 1.053 8.409
Pr 2.265 3.160 0.303
Pr 3.036 1.053 11.309
Pr 3.071 3.160 4.286
Pr 3.842 1.053 7.326
Pr 5.522 3.160 1.386
Pr 6.691 1.053 12.660
Pr 8.371 3.160 6.720
Pr 9.142 1.053 9.760
Pr 9.177 3.160 2.737
Pr 9.948 1.053 13.743
Pr 11.629 3.160 5.637
Rh 0.635 1.053 13.143
Rh 1.372 1.053 5.441
Rh 2.740 3.160 9.284
Rh 3.366 1.053 2.261
Rh 4.734 3.160 12.464
Rh 5.472 3.160 6.120
Rh 6.741 1.053 7.926
Rh 7.479 1.053 1.582
Rh 8.846 3.160 11.785
Rh 9.473 1.053 4.762
Rh 10.841 3.160 8.605
Rh 11.578 3.160 0.903
```


Record 18
## PmPr2Rh2 (PBE)

Data for a relaxed structure of PmPr2Rh2.

Results
DOS(E_F)   7.632 states/eV/cell
E above lowest polymorph   0.0928 eV per atom
Energy of formation from the pure elements   -0.47 eV/atom

The structure in extended XYZ format:
```
10
Lattice="2.021 -8.864 0.000 2.021 8.864 0.000 0.000 0.000 7.538" Properties=species:S:1:pos:R:3 pbc="T T T"
Pm 2.021 6.737 3.769
Pm 2.021 -6.737 0.000
Pr 2.021 3.392 2.920
Pr 2.021 0.571 4.991
Pr 2.021 -0.571 1.222
Pr 2.021 -3.392 6.690
Rh 2.021 7.927 6.472
Rh 2.021 3.389 6.004
Rh 2.021 -3.389 2.235
Rh 2.021 -7.927 2.703
```


Record 19
## Pm2PrRh (PBE)

Data for a relaxed structure of Pm2PrRh.

Results
DOS(E_F)   11.140 states/eV/cell
E above lowest polymorph   0.0292 eV per atom
Energy of formation from the pure elements   -0.40 eV/atom

The structure in extended XYZ format:
```
8
Lattice="1.952 -6.109 0.000 1.952 6.109 0.000 0.000 0.000 9.871" Properties=species:S:1:pos:R:3 pbc="T T T"
Pm 1.952 4.394 5.608
Pm 1.952 4.394 9.199
Pm 1.952 -4.394 0.672
Pm 1.952 -4.394 4.263
Pr 1.952 0.970 7.403
Pr 1.952 -0.970 2.468
Rh 1.952 2.875 2.468
Rh 1.952 -2.875 7.403
```


Record 20
## Pm4Pr3Rh4 (PBE)

Data for a relaxed structure of Pm4Pr3Rh4.

Results
DOS(E_F)   8.749 states/eV/cell
Energy of formation from the pure elements   -0.49 eV/atom

The structure in extended XYZ format:
```
11
Lattice="-2.348 3.909 7.804 2.348 -3.909 7.804 2.348 3.909 -7.804" Properties=species:S:1:pos:R:3 pbc="T T T"
Pm 2.348 -2.231 5.172
Pm 0.000 1.678 2.633
Pm 2.348 2.231 5.172
Pm 0.000 6.140 2.633
Pr 2.348 0.000 0.000
Pr 0.000 0.000 6.254
Pr 0.000 0.000 9.355
Rh 2.348 0.000 3.226
Rh 0.000 2.470 0.000
Rh 0.000 5.348 0.000
Rh 0.000 3.909 4.579
```